# PBE V4PdAu, optimized geometry
# D(E_F) = 5.60 states/eV per cell
# E_form = -0.0200 eV/atom
# crystal system = cubic
# E = -7.511 eV/atom
data_V4PdAu
_chemical_formula_sum 'V4 Pd1 Au1'
_cell_length_a 4.9483
_cell_length_b 4.9483
_cell_length_c 4.9483
_cell_angle_alpha 60.00
_cell_angle_beta 60.00
_cell_angle_gamma 60.00
_symmetry_space_group_name_H-M 'P 1'
_symmetry_Int_Tables_number 1
loop_
_symmetry_equiv_pos_as_xyz
'x,y,z'
loop_
_atom_site_label
_atom_site_type_symbol
_atom_site_fract_x
_atom_site_fract_y
_atom_site_fract_z
_atom_site_occupancy
V1 V 0.6249 0.1252 0.6249 1
V2 V 0.6249 0.6249 0.6249 1
V3 V 0.1252 0.6249 0.6249 1
V4 V 0.6249 0.6249 0.1252 1
Pd1 Pd 0.0000 0.0000 0.0000 1
Au1 Au 0.2500 0.2500 0.2500 1


# PBE Co2PbW, optimized geometry
# D(E_F) = 2.89 states/eV per cell
# E_form = 0.8197 eV/atom
# crystal system = cubic
# E = -6.899 eV/atom
data_Co2PbW
_chemical_formula_sum 'Co2 Pb1 W1'
_cell_length_a 4.4088
_cell_length_b 4.4088
_cell_length_c 4.4088
_cell_angle_alpha 60.00
_cell_angle_beta 60.00
_cell_angle_gamma 60.00
_symmetry_space_group_name_H-M 'P 1'
_symmetry_Int_Tables_number 1
loop_
_symmetry_equiv_pos_as_xyz
'x,y,z'
loop_
_atom_site_label
_atom_site_type_symbol
_atom_site_fract_x
_atom_site_fract_y
_atom_site_fract_z
_atom_site_occupancy
Co1 Co 0.2500 0.2500 0.2500 1
Co2 Co 0.0000 0.0000 0.0000 1
W1 W 0.7500 0.7500 0.7500 1
Pb1 Pb 0.5000 0.5000 0.5000 1


# PBE Lu2ZrNi, optimized geometry
# D(E_F) = 4.37 states/eV per cell
# E_form = -0.2020 eV/atom
# crystal system = tetragonal
# E = -6.045 eV/atom
data_Lu2ZrNi
_chemical_formula_sum 'Lu2 Zr1 Ni1'
_cell_length_a 3.3320
_cell_length_b 3.3320
_cell_length_c 7.8828
_cell_angle_alpha 90.00
_cell_angle_beta 90.00
_cell_angle_gamma 90.00
_symmetry_space_group_name_H-M 'P 1'
_symmetry_Int_Tables_number 1
loop_
_symmetry_equiv_pos_as_xyz
'x,y,z'
loop_
_atom_site_label
_atom_site_type_symbol
_atom_site_fract_x
_atom_site_fract_y
_atom_site_fract_z
_atom_site_occupancy
Ni1 Ni 0.5000 0.5000 0.0000 1
Lu1 Lu 0.0000 0.0000 0.7949 1
Lu2 Lu 0.0000 0.0000 0.2051 1
Zr1 Zr 0.5000 0.5000 0.5000 1


# PBE GeSbAu2, optimized geometry
# D(E_F) = 5.67 states/eV per cell
# distance to the lowest polymorph of the same formula = 0 meV/atom
# crystal system = monoclinic
# raw formation energy = 0.0 eV per formula unit
# E = -3.818 eV/atom
data_GeSbAu2
_chemical_formula_sum 'Ge4 Sb4 Au8'
_cell_length_a 5.6823
_cell_length_b 7.2653
_cell_length_c 8.7267
_cell_angle_alpha 90.00
_cell_angle_beta 85.84
_cell_angle_gamma 90.00
_symmetry_space_group_name_H-M 'P 1'
_symmetry_Int_Tables_number 1
loop_
_symmetry_equiv_pos_as_xyz
'x,y,z'
loop_
_atom_site_label
_atom_site_type_symbol
_atom_site_fract_x
_atom_site_fract_y
_atom_site_fract_z
_atom_site_occupancy
Au1 Au 0.5405 0.7441 0.1586 1
Au2 Au 0.9932 0.7675 0.6126 1
Au3 Au 0.0405 0.7559 0.1586 1
Au4 Au 0.9595 0.2441 0.8414 1
Au5 Au 0.4932 0.7325 0.6126 1
Au6 Au 0.0068 0.2325 0.3874 1
Au7 Au 0.5068 0.2675 0.3874 1
Au8 Au 0.4595 0.2559 0.8414 1
Ge1 Ge 0.7170 0.0776 0.6130 1
Ge2 Ge 0.2830 0.9224 0.3870 1
Ge3 Ge 0.7830 0.5776 0.3870 1
Ge4 Ge 0.2170 0.4224 0.6130 1
Sb1 Sb 0.2243 0.9126 0.8714 1
Sb2 Sb 0.7757 0.0874 0.1286 1
Sb3 Sb 0.7243 0.5874 0.8714 1
Sb4 Sb 0.2757 0.4126 0.1286 1


# PBE Ti3SiTc4, optimized geometry
# D(E_F) = 8.53 states/eV per cell
# crystal system = tetragonal
# raw formation energy = -3.9 eV per formula unit
# E = -9.309 eV/atom
data_Ti3SiTc4
_chemical_formula_sum 'Ti3 Si1 Tc4'
_cell_length_a 3.0991
_cell_length_b 3.0991
_cell_length_c 12.1104
_cell_angle_alpha 90.00
_cell_angle_beta 90.00
_cell_angle_gamma 90.00
_symmetry_space_group_name_H-M 'P 1'
_symmetry_Int_Tables_number 1
loop_
_symmetry_equiv_pos_as_xyz
'x,y,z'
loop_
_atom_site_label
_atom_site_type_symbol
_atom_site_fract_x
_atom_site_fract_y
_atom_site_fract_z
_atom_site_occupancy
Tc1 Tc 0.0000 0.0000 0.6283 1
Tc2 Tc 0.0000 0.0000 0.1141 1
Tc3 Tc 0.0000 0.0000 0.3717 1
Tc4 Tc 0.0000 0.0000 0.8859 1
Si1 Si 0.5000 0.5000 0.0000 1
Ti1 Ti 0.5000 0.5000 0.2445 1
Ti2 Ti 0.5000 0.5000 0.7555 1
Ti3 Ti 0.5000 0.5000 0.5000 1


# PBE BeZnPb, optimized geometry
# D(E_F) = 1.38 states/eV per cell
# E_form = 0.4186 eV/atom
# crystal system = hexagonal
# E = -2.484 eV/atom
data_BeZnPb
_chemical_formula_sum 'Be1 Zn1 Pb1'
_cell_length_a 4.0937
_cell_length_b 4.0937
_cell_length_c 3.9917
_cell_angle_alpha 90.00
_cell_angle_beta 90.00
_cell_angle_gamma 120.00
_symmetry_space_group_name_H-M 'P 1'
_symmetry_Int_Tables_number 1
loop_
_symmetry_equiv_pos_as_xyz
'x,y,z'
loop_
_atom_site_label
_atom_site_type_symbol
_atom_site_fract_x
_atom_site_fract_y
_atom_site_fract_z
_atom_site_occupancy
Zn1 Zn 0.3333 0.6667 0.8337 1
Pb1 Pb 0.6667 0.3333 0.3337 1
Be1 Be 0.0000 0.0000 0.8325 1


# PBE Nd2Ho3Er, optimized geometry
# D(E_F) = 19.09 states/eV per cell
# E_form = 0.0985 eV/atom
# distance to the lowest polymorph of the same formula = 59 meV/atom
# crystal system = monoclinic
# E = -4.540 eV/atom
data_Nd2Ho3Er
_chemical_formula_sum 'Nd4 Ho6 Er2'
_cell_length_a 5.5874
_cell_length_b 8.9882
_cell_length_c 9.9810
_cell_angle_alpha 123.08
_cell_angle_beta 90.00
_cell_angle_gamma 108.11
_symmetry_space_group_name_H-M 'P 1'
_symmetry_Int_Tables_number 1
loop_
_symmetry_equiv_pos_as_xyz
'x,y,z'
loop_
_atom_site_label
_atom_site_type_symbol
_atom_site_fract_x
_atom_site_fract_y
_atom_site_fract_z
_atom_site_occupancy
Ho1 Ho 0.7103 0.4205 0.4266 1
Ho2 Ho 0.0464 0.0928 0.3900 1
Ho3 Ho 0.2897 0.5795 0.5734 1
Ho4 Ho 0.9536 0.9072 0.6100 1
Ho5 Ho 0.6135 0.2271 0.6552 1
Ho6 Ho 0.3865 0.7729 0.3448 1
Nd1 Nd 0.2314 0.4628 0.8737 1
Nd2 Nd 0.7686 0.5372 0.1263 1
Nd3 Nd 0.5072 0.0144 0.8572 1
Nd4 Nd 0.4928 0.9856 0.1428 1
Er1 Er 0.1322 0.2645 0.1349 1
Er2 Er 0.8678 0.7355 0.8651 1


# PBE Ce2Fe3NiB12, optimized geometry
# D(E_F) = 8.38 states/eV per cell
# E_form = -0.0256 eV/atom
# crystal system = trigonal
# E = -6.868 eV/atom
data_Ce2Fe3NiB12
_chemical_formula_sum 'Ce2 Fe3 Ni1 B12'
_cell_length_a 8.0150
_cell_length_b 8.0150
_cell_length_c 8.0150
_cell_angle_alpha 39.64
_cell_angle_beta 39.64
_cell_angle_gamma 39.64
_symmetry_space_group_name_H-M 'P 1'
_symmetry_Int_Tables_number 1
loop_
_symmetry_equiv_pos_as_xyz
'x,y,z'
loop_
_atom_site_label
_atom_site_type_symbol
_atom_site_fract_x
_atom_site_fract_y
_atom_site_fract_z
_atom_site_occupancy
B1 B 0.9486 0.9486 0.3228 1
B2 B 0.3228 0.9486 0.9486 1
B3 B 0.3460 0.0302 0.3460 1
B4 B 0.6540 0.9698 0.6540 1
B5 B 0.0514 0.6772 0.0514 1
B6 B 0.6540 0.6540 0.9698 1
B7 B 0.9486 0.3228 0.9486 1
B8 B 0.3460 0.3460 0.0302 1
B9 B 0.0514 0.0514 0.6772 1
B10 B 0.6772 0.0514 0.0514 1
B11 B 0.9698 0.6540 0.6540 1
B12 B 0.0302 0.3460 0.3460 1
Fe1 Fe 0.0000 0.5000 0.0000 1
Fe2 Fe 0.0000 0.0000 0.5000 1
Fe3 Fe 0.5000 0.0000 0.0000 1
Ni1 Ni 0.0000 0.0000 0.0000 1
Ce1 Ce 0.6389 0.6389 0.6389 1
Ce2 Ce 0.3611 0.3611 0.3611 1


# PBE MgSc2Cl, optimized geometry
# D(E_F) = 5.58 states/eV per cell
# distance to the lowest polymorph of the same formula = 395 meV/atom
# crystal system = monoclinic
# raw formation energy = -0.9 eV per formula unit
# E = -4.240 eV/atom
data_MgSc2Cl
_chemical_formula_sum 'Mg1 Sc2 Cl1'
_cell_length_a 5.7220
_cell_length_b 5.8172
_cell_length_c 3.2853
_cell_angle_alpha 81.57
_cell_angle_beta 77.73
_cell_angle_gamma 117.79
_symmetry_space_group_name_H-M 'P 1'
_symmetry_Int_Tables_number 1
loop_
_symmetry_equiv_pos_as_xyz
'x,y,z'
loop_
_atom_site_label
_atom_site_type_symbol
_atom_site_fract_x
_atom_site_fract_y
_atom_site_fract_z
_atom_site_occupancy
Sc1 Sc 0.0000 0.0000 0.0000 1
Sc2 Sc 0.0000 0.5000 0.5000 1
Cl1 Cl 0.5000 0.5000 0.0000 1
Mg1 Mg 0.5000 0.0000 0.5000 1


# PBE Ac8HgIr3I4, optimized geometry
# D(E_F) = 9.37 states/eV per cell
# crystal system = trigonal
# raw formation energy = -15.6 eV per formula unit
# E = -5.094 eV/atom
data_Ac8HgIr3I4
_chemical_formula_sum 'Ac8 Hg1 Ir3 I4'
_cell_length_a 8.9890
_cell_length_b 10.0583
_cell_length_c 8.9894
_cell_angle_alpha 116.55
_cell_angle_beta 120.00
_cell_angle_gamma 90.00
_symmetry_space_group_name_H-M 'P 1'
_symmetry_Int_Tables_number 1
loop_
_symmetry_equiv_pos_as_xyz
'x,y,z'
loop_
_atom_site_label
_atom_site_type_symbol
_atom_site_fract_x
_atom_site_fract_y
_atom_site_fract_z
_atom_site_occupancy
Ac1 Ac 0.2715 0.3144 0.5430 1
Ac2 Ac 0.7605 0.3139 0.0534 1
Ac3 Ac 0.2395 0.6860 0.4790 1
Ac4 Ac 0.2929 0.3139 0.0534 1
Ac5 Ac 0.7605 0.3140 0.5210 1
Ac6 Ac 0.2395 0.6861 0.9466 1
Ac7 Ac 0.7071 0.6861 0.9466 1
Ac8 Ac 0.7285 0.6856 0.4570 1
Ir1 Ir 0.0000 0.5000 0.5000 1
Ir2 Ir 0.5000 0.5000 0.5000 1
Ir3 Ir 0.5000 0.5000 0.0000 1
I1 I 0.0000 0.0000 0.0000 1
I2 I 0.5000 0.0000 0.5000 1
I3 I 0.0000 0.0000 0.5000 1
I4 I 0.5000 0.0000 0.0000 1
Hg1 Hg 0.0000 0.5000 0.0000 1


# PBE InAsOsBr2, optimized geometry
# D(E_F) = 5.96 states/eV per cell
# distance to the lowest polymorph of the same formula = 1106 meV/atom
# crystal system = tetragonal
# raw formation energy = 6.9 eV per formula unit
# E = -3.011 eV/atom
data_InAsOsBr2
_chemical_formula_sum 'In1 As1 Os1 Br2'
_cell_length_a 5.2986
_cell_length_b 5.2986
_cell_length_c 5.5058
_cell_angle_alpha 90.00
_cell_angle_beta 90.00
_cell_angle_gamma 90.00
_symmetry_space_group_name_H-M 'P 1'
_symmetry_Int_Tables_number 1
loop_
_symmetry_equiv_pos_as_xyz
'x,y,z'
loop_
_atom_site_label
_atom_site_type_symbol
_atom_site_fract_x
_atom_site_fract_y
_atom_site_fract_z
_atom_site_occupancy
In1 In 0.0000 0.0000 0.0000 1
Br1 Br 0.0000 0.5000 0.0000 1
Br2 Br 0.5000 0.0000 0.0000 1
Os1 Os 0.5000 0.5000 0.5000 1
As1 As 0.0000 0.0000 0.5000 1


# PBE Na3Tl3Pb, optimized geometry
# D(E_F) = 9.13 states/eV per cell
# E_form = 0.4278 eV/atom
# distance to the lowest polymorph of the same formula = 534 meV/atom
# crystal system = cubic
# E = -1.681 eV/atom
data_Na3Tl3Pb
_chemical_formula_sum 'Na6 Tl6 Pb2'
_cell_length_a 8.2266
_cell_length_b 8.2266
_cell_length_c 8.2266
_cell_angle_alpha 90.00
_cell_angle_beta 90.00
_cell_angle_gamma 90.00
_symmetry_space_group_name_H-M 'P 1'
_symmetry_Int_Tables_number 1
loop_
_symmetry_equiv_pos_as_xyz
'x,y,z'
loop_
_atom_site_label
_atom_site_type_symbol
_atom_site_fract_x
_atom_site_fract_y
_atom_site_fract_z
_atom_site_occupancy
Na1 Na 0.0000 0.5000 0.7500 1
Na2 Na 0.5000 0.2500 0.0000 1
Na3 Na 0.7500 0.0000 0.5000 1
Na4 Na 0.5000 0.7500 0.0000 1
Na5 Na 0.0000 0.5000 0.2500 1
Na6 Na 0.2500 0.0000 0.5000 1
Pb1 Pb 0.0000 0.0000 0.0000 1
Pb2 Pb 0.5000 0.5000 0.5000 1
Tl1 Tl 0.0000 0.7500 0.5000 1
Tl2 Tl 0.2500 0.5000 0.0000 1
Tl3 Tl 0.5000 0.0000 0.7500 1
Tl4 Tl 0.0000 0.2500 0.5000 1
Tl5 Tl 0.7500 0.5000 0.0000 1
Tl6 Tl 0.5000 0.0000 0.2500 1


> What is the formula in the ninth record?

MgSc2Cl